DFT (GGA-PBE) results for an optimized crystal structure of HfH2W.

Cell: 5.5730 5.5730 5.5730 Å, 90.00 90.00 90.00°
Positions (direct):
Hf1 0.0000 0.0000 0.0000
Hf2 0.0000 0.5000 0.5000
Hf3 0.5000 0.0000 0.5000
Hf4 0.5000 0.5000 0.0000
H1 0.2500 0.2500 0.2500
H2 0.2500 0.2500 0.7500
H3 0.2500 0.7500 0.2500
H4 0.2500 0.7500 0.7500
H5 0.7500 0.2500 0.2500
H6 0.7500 0.2500 0.7500
H7 0.7500 0.7500 0.2500
H8 0.7500 0.7500 0.7500
W1 0.0000 0.0000 0.5000
W2 0.0000 0.5000 0.0000
W3 0.5000 0.0000 0.0000
W4 0.5000 0.5000 0.5000

Computed properties:
- energy (eV for the cell shown) = -108.584
- total magnetic moment (μB per formula unit) = 0.00
- relative energy among the computed polymorphs (eV/atom) = 0.639
- DOS(E_F) (states/eV/atom) = 0.57



DFT (GGA-PBE) results for an optimized crystal structure of CsTlS2Cl.

Cell: 5.5806 5.5806 6.4447 Å, 90.00 90.00 90.00°
Positions (direct):
Cs1 0.0000 0.0000 0.0000
Tl1 0.5000 0.5000 0.5000
S1 0.0000 0.5000 0.0000
S2 0.5000 0.0000 0.0000
Cl1 0.0000 0.0000 0.5000

Computed properties:
- energy (eV for the cell shown) = -11.923
- formation energy from raw total energies (eV per atom) = 0.28
- total magnetic moment (μB per formula unit) = 1.06
- relative energy among the computed polymorphs (eV/atom) = 0.723
- DOS(E_F) (states/eV/atom) = 1.50



DFT (GGA-PBE) results for an optimized crystal structure of Ca4Ga5Rh3.

Cell: 6.0228 6.0228 11.2841 Å, 116.10 116.10 46.19°
Positions (direct):
Ca1 0.1512 0.1512 0.3448
Ca2 0.1570 0.1570 0.0151
Ca3 0.8430 0.8430 0.9849
Ca4 0.8488 0.8488 0.6552
Ga1 0.1788 0.1788 0.7476
Ga2 0.4539 0.4539 0.8716
Ga3 0.5000 0.5000 0.5000
Ga4 0.5461 0.5461 0.1284
Ga5 0.8212 0.8212 0.2524
Rh1 0.0000 0.0000 0.5000
Rh2 0.4187 0.4187 0.2581
Rh3 0.5813 0.5813 0.7419

Computed properties:
- energy (eV for the cell shown) = -51.555
- formation energy (eV/atom) = -0.530
- total magnetic moment (μB per formula unit) = 0.00
- DOS(E_F) (states/eV/atom) = 0.54